VASP calculation (PBE) on an optimized crystal structure of NdCo3. Values from VASP.

Quantum ESPRESSO input file:
```
&SYSTEM
  ibrav = 0, nat = 4, ntyp = 2
/
ATOMIC_SPECIES
Co 58.93 Co.upf
Nd 144.24 Nd.upf
ATOMIC_POSITIONS crystal
Co 0.5000 0.5000 0.0000
Co 0.2500 0.7500 0.5000
Co 0.7500 0.2500 0.5000
Nd 0.0000 0.0000 0.0000
CELL_PARAMETERS angstrom
-1.9996 1.9996 3.7748
1.9996 -1.9996 3.7748
1.9996 1.9996 -3.7748
```

Values from the calculation:
Its crystal system is tetragonal. Its total magnetization is 3.712 μB/cell. Its total energy is -6.13 eV/atom. Its formation energy is 1.6 eV per formula unit. The space group is I4/mmm, No. 139.